This record from Alexandria via LeMat-Bulk describes a relaxed Ca3TmTe4 crystal. The functional is PBE.

Cell: 4.4343 7.7135 7.7135 Å, 109.30 90.00 90.00°
Closest atoms and distances in Å follow each position.
Fractional coordinates of all 8 atoms:
1 Ca 0.0000 0.5000 0.0000  6 Te 3.15
2 Ca 0.0000 0.0000 0.5000  6 Te 3.15
3 Ca 0.5000 0.5000 0.5000  6 Te 3.20
4 Te 0.0000 0.2421 0.2421  2 Tm 3.10, 4 Ca 3.15-3.20
5 Te 0.5000 0.2455 0.7545  1 Tm 3.09, 5 Ca 3.15-3.20
6 Te 0.5000 0.7545 0.2455  1 Tm 3.09, 5 Ca 3.15-3.20
7 Te 0.0000 0.7579 0.7579  2 Tm 3.10, 4 Ca 3.15-3.20
8 Tm 0.5000 0.0000 0.0000  6 Te 3.09-3.10

Summary:
Theoretical density   5.33 g/cm3
Calculated volume   249 Å³/cell
E_tot   -35.22 eV for the cell shown

This record from Alexandria via LeMat-Bulk describes a relaxed Co3RuPt crystal. The functional is PBE.

Cell: 4.5336 4.5336 4.5336 Å, 90.00 90.00 90.00°
Closest atoms and distances in Å follow each position.
Fractional coordinates of all 5 atoms:
1 Co 0.5000 0.0000 0.0000  2 Pt 2.27
2 Co 0.0000 0.5000 0.0000  2 Pt 2.27
3 Co 0.0000 0.0000 0.5000  2 Pt 2.27
4 Pt 0.0000 0.0000 0.0000  6 Co 2.27
5 Ru 0.5000 0.5000 0.5000  12 Co 3.21

Summary:
Theoretical density   8.43 g/cm3
E above lowest polymorph   106 meV per atom
ΔH_f (0 K)   1624 meV per atom
Calculated volume   93 Å³/cell

This record from Alexandria via LeMat-Bulk describes a relaxed Sm6PbSe4 crystal. The functional is PBE.

Cell: 4.2646 7.1328 21.1752 Å, 90.00 90.00 107.39°
Closest atoms and distances in Å follow each position.
Fractional coordinates of all 22 atoms:
1 Sm 0.2287 0.4574 0.5855  5 Se 2.93-2.97
2 Sm 0.9558 0.9115 0.6630  3 Se 2.90-2.95
3 Sm 0.7713 0.5426 0.0855  5 Se 2.93-2.97
4 Sm 0.9558 0.9115 0.8370  3 Se 2.90-2.95
5 Sm 0.5000 0.0000 0.0000  6 Se 2.90-2.96
6 Sm 0.7713 0.5426 0.4145  5 Se 2.93-2.97
7 Sm 0.6641 0.3283 0.7500  2 Se 2.85, 2 Pb 3.16
8 Sm 0.3359 0.6717 0.2500  2 Se 2.85, 2 Pb 3.16
9 Sm 0.0442 0.0885 0.1630  3 Se 2.90-2.95
10 Sm 0.0442 0.0885 0.3370  3 Se 2.90-2.95
11 Sm 0.5000 0.0000 0.5000  6 Se 2.90-2.96
12 Sm 0.2287 0.4574 0.9145  5 Se 2.93-2.97
13 Se 0.8624 0.7248 0.9602  6 Sm 2.90-2.97
14 Se 0.8624 0.7248 0.5398  6 Sm 2.90-2.97
15 Se 0.5922 0.1843 0.8764  6 Sm 2.85-2.95
16 Se 0.4078 0.8157 0.3764  6 Sm 2.85-2.95
17 Se 0.1376 0.2752 0.0398  6 Sm 2.90-2.97
18 Se 0.5922 0.1843 0.6236  6 Sm 2.85-2.95
19 Se 0.1376 0.2752 0.4602  6 Sm 2.90-2.97
20 Se 0.4078 0.8157 0.1236  6 Sm 2.85-2.95
21 Pb 0.3357 0.6714 0.7500  6 Sm 3.16-3.26
22 Pb 0.6643 0.3286 0.2500  6 Sm 3.16-3.26

Summary:
Theoretical density   7.70 g/cm3
Calculated volume   615 Å³/cell
E_tot   -123.62 eV for the cell shown

This record from Alexandria via LeMat-Bulk describes a relaxed Tb4CuRh crystal. The functional is PBE.

Cell: 9.4468 9.4468 9.4468 Å, 60.00 60.00 60.00°
Closest atoms and distances in Å follow each position.
Fractional coordinates of all 24 atoms:
1 Tb 0.5608 0.9392 0.9392  2 Rh 2.80
2 Tb 0.1856 0.8144 0.1856  2 Cu 3.13, 2 Rh 3.43, 6 Tb 3.43-3.51
3 Tb 0.3909 0.3909 0.8272  3 Rh 2.86, 3 Cu 3.20
4 Tb 0.3909 0.3909 0.3909  3 Rh 2.86, 3 Cu 3.20
5 Tb 0.9392 0.5608 0.5608  2 Rh 2.80
6 Tb 0.8144 0.8144 0.1856  2 Cu 3.13, 2 Rh 3.43, 6 Tb 3.43-3.51
7 Tb 0.3909 0.8272 0.3909  3 Rh 2.86, 3 Cu 3.20
8 Tb 0.8144 0.1856 0.8144  2 Cu 3.13, 2 Rh 3.43, 6 Tb 3.43-3.51
9 Tb 0.5608 0.5608 0.9392  2 Rh 2.80
10 Tb 0.9392 0.5608 0.9392  2 Rh 2.80
11 Tb 0.1856 0.8144 0.8144  2 Cu 3.13, 2 Rh 3.43, 6 Tb 3.43-3.51
12 Tb 0.8144 0.1856 0.1856  2 Cu 3.13, 2 Rh 3.43, 6 Tb 3.43-3.51
13 Tb 0.1856 0.1856 0.8144  2 Cu 3.13, 2 Rh 3.43, 6 Tb 3.43-3.51
14 Tb 0.8272 0.3909 0.3909  3 Rh 2.86, 3 Cu 3.20
15 Tb 0.5608 0.9392 0.5608  2 Rh 2.80
16 Tb 0.9392 0.9392 0.5608  2 Rh 2.80
17 Cu 0.5043 0.1652 0.1652  9 Tb 3.13-3.42, 3 Cu 3.20
18 Cu 0.1652 0.1652 0.5043  9 Tb 3.13-3.42, 3 Cu 3.20
19 Cu 0.1652 0.1652 0.1652  9 Tb 3.13-3.42, 3 Cu 3.20
20 Cu 0.1652 0.5043 0.1652  9 Tb 3.13-3.42, 3 Cu 3.20
21 Rh 0.6049 0.6049 0.1853  6 Tb 2.80-2.86
22 Rh 0.6049 0.6049 0.6049  6 Tb 2.80-2.86
23 Rh 0.1853 0.6049 0.6049  6 Tb 2.80-2.86
24 Rh 0.6049 0.1853 0.6049  6 Tb 2.80-2.86

Summary:
Theoretical density   8.94 g/cm3
E above lowest polymorph   0 meV per atom
ΔH_f (0 K)   -381 meV per atom
Calculated volume   596 Å³/cell

> Among the records above, which one has the highest calculated volume?

Sm6PbSe4

What did the third record say?
This record from Alexandria via LeMat-Bulk describes a relaxed Sm6PbSe4 crystal. The functional is PBE.

Cell: 4.2646 7.1328 21.1752 Å, 90.00 90.00 107.39°
Closest atoms and distances in Å follow each position.
Fractional coordinates of all 22 atoms:
1 Sm 0.2287 0.4574 0.5855  5 Se 2.93-2.97
2 Sm 0.9558 0.9115 0.6630  3 Se 2.90-2.95
3 Sm 0.7713 0.5426 0.0855  5 Se 2.93-2.97
4 Sm 0.9558 0.9115 0.8370  3 Se 2.90-2.95
5 Sm 0.5000 0.0000 0.0000  6 Se 2.90-2.96
6 Sm 0.7713 0.5426 0.4145  5 Se 2.93-2.97
7 Sm 0.6641 0.3283 0.7500  2 Se 2.85, 2 Pb 3.16
8 Sm 0.3359 0.6717 0.2500  2 Se 2.85, 2 Pb 3.16
9 Sm 0.0442 0.0885 0.1630  3 Se 2.90-2.95
10 Sm 0.0442 0.0885 0.3370  3 Se 2.90-2.95
11 Sm 0.5000 0.0000 0.5000  6 Se 2.90-2.96
12 Sm 0.2287 0.4574 0.9145  5 Se 2.93-2.97
13 Se 0.8624 0.7248 0.9602  6 Sm 2.90-2.97
14 Se 0.8624 0.7248 0.5398  6 Sm 2.90-2.97
15 Se 0.5922 0.1843 0.8764  6 Sm 2.85-2.95
16 Se 0.4078 0.8157 0.3764  6 Sm 2.85-2.95
17 Se 0.1376 0.2752 0.0398  6 Sm 2.90-2.97
18 Se 0.5922 0.1843 0.6236  6 Sm 2.85-2.95
19 Se 0.1376 0.2752 0.4602  6 Sm 2.90-2.97
20 Se 0.4078 0.8157 0.1236  6 Sm 2.85-2.95
21 Pb 0.3357 0.6714 0.7500  6 Sm 3.16-3.26
22 Pb 0.6643 0.3286 0.2500  6 Sm 3.16-3.26

Summary:
Theoretical density   7.70 g/cm3
Calculated volume   615 Å³/cell
E_tot   -123.62 eV for the cell shown

> What is the calculated volume in the second record?

93 Å³/cell